1.
The following is a DFT calculation (PBE) of a geometry-optimized LiPm2Sm structure.

```
data_LiPm2Sm
_chemical_formula_sum 'Li4 Pm8 Sm4'
_symmetry_space_group_name_H-M 'F m -3 m'
_symmetry_Int_Tables_number 225
_symmetry_space_group_name_Hall '-F 4 2 3'
_cell_length_a 7.9266
_cell_length_b 7.9266
_cell_length_c 7.9266
_cell_angle_alpha 90.00
_cell_angle_beta 90.00
_cell_angle_gamma 90.00
loop_
_atom_site_label
_atom_site_type_symbol
_atom_site_fract_x
_atom_site_fract_y
_atom_site_fract_z
_atom_site_occupancy
Li1 Li 0.0000 0.0000 0.0000 1
Pm1 Pm 0.2500 0.2500 0.2500 1
Sm1 Sm 0.0000 0.0000 0.5000 1
```

- DOS(E_F) (states/eV/f.u.) = 4.566
- energy of formation (eV per atom) = 0.182
- energy above the most stable polymorph in this dataset (meV/atom) = 118
- magnetic moment (μB per formula unit) = 0.00

---

2.
The following is a DFT calculation (PBE) of a geometry-optimized Sc4CO structure.

```
data_Sc4CO
_chemical_formula_sum 'Sc4 C1 O1'
_symmetry_space_group_name_H-M 'P 1 2/m 1'
_symmetry_Int_Tables_number 10
_cell_length_a 5.4183
_cell_length_b 3.2945
_cell_length_c 5.6272
_cell_angle_alpha 90.00
_cell_angle_beta 90.99
_cell_angle_gamma 90.00
loop_
_symmetry_equiv_pos_as_xyz
'x,y,z'
'-x,-y,-z'
'-x,y,-z'
'x,-y,z'
loop_
_atom_site_label
_atom_site_type_symbol
_atom_site_fract_x
_atom_site_fract_y
_atom_site_fract_z
_atom_site_occupancy
Sc1 Sc 0.2302 0.0000 0.1694 1
Sc2 Sc 0.2298 0.5000 0.6724 1
C1 C 0.0000 0.5000 0.0000 1
O1 O 0.0000 0.0000 0.5000 1
```

- DOS(E_F) (states/eV/f.u.) = 6.516
- energy above the most stable polymorph in this dataset (meV/atom) = 41
- magnetic moment (μB per formula unit) = 0.00

---

3.
The following is a DFT calculation (PBE) of a geometry-optimized Na2Li2Ac3Pb4 structure.

```
data_Na2Li2Ac3Pb4
_chemical_formula_sum 'Na2 Li2 Ac3 Pb4'
_symmetry_space_group_name_H-M 'P -3 m 1'
_symmetry_Int_Tables_number 164
_symmetry_space_group_name_Hall '-P 3 2"'
_cell_length_a 4.9686
_cell_length_b 4.9686
_cell_length_c 17.2019
_cell_angle_alpha 90.00
_cell_angle_beta 90.00
_cell_angle_gamma 120.00
loop_
_atom_site_label
_atom_site_type_symbol
_atom_site_fract_x
_atom_site_fract_y
_atom_site_fract_z
_atom_site_occupancy
Na1 Na 0.3333 0.6667 0.0571 1
Li1 Li 0.3333 0.6667 0.6349 1
Ac1 Ac 0.0000 0.0000 0.2475 1
Ac2 Ac 0.0000 0.0000 0.5000 1
Pb1 Pb 0.3333 0.6667 0.3789 1
Pb2 Pb 0.3333 0.6667 0.8587 1
```

- DOS(E_F) (states/eV/f.u.) = 9.014
- energy of formation (eV per atom) = -0.329
- magnetic moment (μB per formula unit) = 0.00

---

4.
The following is a DFT calculation (PBE) of a geometry-optimized Nd15DyIn4 structure.

```
data_Nd15DyIn4
_chemical_formula_sum 'Nd15 Dy1 In4'
_symmetry_space_group_name_H-M 'P 4/m m m'
_symmetry_Int_Tables_number 123
_symmetry_space_group_name_Hall '-P 4 2'
_cell_length_a 4.9957
_cell_length_b 4.9957
_cell_length_c 25.4773
_cell_angle_alpha 90.00
_cell_angle_beta 90.00
_cell_angle_gamma 90.00
loop_
_atom_site_label
_atom_site_type_symbol
_atom_site_fract_x
_atom_site_fract_y
_atom_site_fract_z
_atom_site_occupancy
Nd1 Nd 0.0000 0.0000 0.0000 1
Nd2 Nd 0.0000 0.0000 0.2043 1
Nd3 Nd 0.0000 0.0000 0.4014 1
Nd4 Nd 0.0000 0.5000 0.1050 1
Nd5 Nd 0.0000 0.5000 0.3029 1
Nd6 Nd 0.0000 0.5000 0.5000 1
Dy1 Dy 0.5000 0.5000 0.0000 1
In1 In 0.5000 0.5000 0.2053 1
In2 In 0.5000 0.5000 0.4016 1
```

- DOS(E_F) (states/eV/f.u.) = 29.865
- energy of formation (eV per atom) = -0.211
- magnetic moment (μB per formula unit) = 0.00

---

5.
The following is a DFT calculation (PBE) of a geometry-optimized Rh5Pb3 structure.

```
data_Rh5Pb3
_chemical_formula_sum 'Rh10 Pb6'
_symmetry_space_group_name_H-M 'P 63/m c m'
_symmetry_Int_Tables_number 193
_symmetry_space_group_name_Hall '-P 6c 2'
_cell_length_a 7.8291
_cell_length_b 7.8291
_cell_length_c 5.5542
_cell_angle_alpha 90.00
_cell_angle_beta 90.00
_cell_angle_gamma 120.00
loop_
_atom_site_label
_atom_site_type_symbol
_atom_site_fract_x
_atom_site_fract_y
_atom_site_fract_z
_atom_site_occupancy
Rh1 Rh 0.0000 0.2088 0.2500 1
Rh2 Rh 0.3333 0.6667 0.0000 1
Pb1 Pb 0.0000 0.3967 0.7500 1
```

- DOS(E_F) (states/eV/f.u.) = 8.634
- energy of formation (eV per atom) = 0.212
- energy above the most stable polymorph in this dataset (meV/atom) = 182
- magnetic moment (μB per formula unit) = 0.96

---

6.
The following is a DFT calculation (PBE) of a geometry-optimized AlAgC structure.

```
data_AlAgC
_chemical_formula_sum 'Al4 Ag4 C4'
_symmetry_space_group_name_H-M 'P n m a'
_symmetry_Int_Tables_number 62
_cell_length_a 7.8122
_cell_length_b 3.3896
_cell_length_c 6.4171
_cell_angle_alpha 90.00
_cell_angle_beta 90.00
_cell_angle_gamma 90.00
loop_
_symmetry_equiv_pos_as_xyz
'x,y,z'
'-x,-y,-z'
'-x+1/2,-y,z+1/2'
'x+1/2,y,-z+1/2'
'x+1/2,-y+1/2,-z+1/2'
'-x+1/2,y+1/2,z+1/2'
'-x,y+1/2,-z'
'x,-y+1/2,z'
loop_
_atom_site_label
_atom_site_type_symbol
_atom_site_fract_x
_atom_site_fract_y
_atom_site_fract_z
_atom_site_occupancy
Al1 Al 0.0398 0.2500 0.1528 1
Ag1 Ag 0.1446 0.7500 0.4688 1
C1 C 0.1549 0.7500 0.0653 1
```

- DOS(E_F) (states/eV/f.u.) = 0.846
- energy of formation (eV per atom) = 0.662
- magnetic moment (μB per formula unit) = 0.00

---

7.
The following is a DFT calculation (PBE) of a geometry-optimized LiDyNiSn structure.

```
data_LiDyNiSn
_chemical_formula_sum 'Li4 Dy4 Ni4 Sn4'
_symmetry_space_group_name_H-M 'F -4 3 m'
_symmetry_Int_Tables_number 216
_symmetry_space_group_name_Hall 'F -4 2 3'
_cell_length_a 6.5544
_cell_length_b 6.5544
_cell_length_c 6.5544
_cell_angle_alpha 90.00
_cell_angle_beta 90.00
_cell_angle_gamma 90.00
loop_
_atom_site_label
_atom_site_type_symbol
_atom_site_fract_x
_atom_site_fract_y
_atom_site_fract_z
_atom_site_occupancy
Li1 Li 0.0000 0.0000 0.0000 1
Dy1 Dy 0.2500 0.2500 0.7500 1
Ni1 Ni 0.0000 0.0000 0.5000 1
Sn1 Sn 0.2500 0.2500 0.2500 1
```

- DOS(E_F) (states/eV/f.u.) = 0.028
- energy of formation (eV per atom) = -0.586
- magnetic moment (μB per formula unit) = 0.00

---

8.
The following is a DFT calculation (PBE) of a geometry-optimized LiMg2ReN4 structure.

```
data_LiMg2ReN4
_chemical_formula_sum 'Li2 Mg4 Re2 N8'
_symmetry_space_group_name_H-M 'P m n 21'
_symmetry_Int_Tables_number 31
_cell_length_a 6.8252
_cell_length_b 5.7435
_cell_length_c 5.3028
_cell_angle_alpha 90.00
_cell_angle_beta 90.00
_cell_angle_gamma 90.00
loop_
_symmetry_equiv_pos_as_xyz
'x,y,z'
'-x+1/2,-y,z+1/2'
'-x,y,z'
'x+1/2,-y,z+1/2'
loop_
_atom_site_label
_atom_site_type_symbol
_atom_site_fract_x
_atom_site_fract_y
_atom_site_fract_z
_atom_site_occupancy
Li1 Li 0.0000 0.1579 0.0000 1
Mg1 Mg 0.2468 0.3259 0.5036 1
Re1 Re 0.0000 0.8260 0.5108 1
N1 N 0.0000 0.1313 0.4074 1
N2 N 0.0000 0.8161 0.8546 1
N3 N 0.2218 0.6770 0.3994 1
```

- DOS(E_F) (states/eV/f.u.) = 0.000
- E_tot (eV/atom) = -7.019
- magnetic moment (μB per formula unit) = 0.00

---

What did the fifth record say?
The following is a DFT calculation (PBE) of a geometry-optimized Rh5Pb3 structure.

```
data_Rh5Pb3
_chemical_formula_sum 'Rh10 Pb6'
_symmetry_space_group_name_H-M 'P 63/m c m'
_symmetry_Int_Tables_number 193
_symmetry_space_group_name_Hall '-P 6c 2'
_cell_length_a 7.8291
_cell_length_b 7.8291
_cell_length_c 5.5542
_cell_angle_alpha 90.00
_cell_angle_beta 90.00
_cell_angle_gamma 120.00
loop_
_atom_site_label
_atom_site_type_symbol
_atom_site_fract_x
_atom_site_fract_y
_atom_site_fract_z
_atom_site_occupancy
Rh1 Rh 0.0000 0.2088 0.2500 1
Rh2 Rh 0.3333 0.6667 0.0000 1
Pb1 Pb 0.0000 0.3967 0.7500 1
```

- DOS(E_F) (states/eV/f.u.) = 8.634
- energy of formation (eV per atom) = 0.212
- energy above the most stable polymorph in this dataset (meV/atom) = 182
- magnetic moment (μB per formula unit) = 0.96

---

Question: What is the magnetic moment in the seventh record?
Answer: 0.00 μB per formula unit